1.
This record from Alexandria describes crystalline KMnAgP2 at its relaxed geometry. The functional is PBE.

Results
Energy of formation from the pure elements, eV/atom: 0.4571

Cell: 4.4001 4.4001 5.9018 Å, 90.00 90.00 90.00°
Element x y z (fractional)
K  0.0000  0.0000  0.0000
Mn  0.0000  0.0000  0.5000
Ag  0.5000  0.5000  0.0000
P  0.0000  0.5000  0.5000
P  0.5000  0.0000  0.5000

***

2.
This record from Alexandria describes crystalline K2MnAgS4 at its relaxed geometry. The functional is PBE.

Results
Uncorrected formation energy, eV per atom: -0.68

Cell: 13.0929 11.7393 7.1014 Å, 84.21 63.13 32.66°
Element x y z (fractional)
K  0.0561  0.0561  0.6939
K  0.3061  0.3061  0.9439
K  0.6939  0.6939  0.0561
K  0.9439  0.9439  0.3061
Mn  0.3750  0.3750  0.3750
Mn  0.6250  0.6250  0.6250
Ag  0.1250  0.1250  0.1250
Ag  0.8750  0.8750  0.8750
S  0.0195  0.6182  0.5337
S  0.3286  0.5337  0.6182
S  0.3818  0.9805  0.6714
S  0.4663  0.6714  0.9805
S  0.5337  0.3286  0.0195
S  0.6182  0.0195  0.3286
S  0.6714  0.4663  0.3818
S  0.9805  0.3818  0.4663

***

Which total magnetic moment belongs to each record? In order, 0.35, 0.25 μB/atom.